Density functional theory data (GGA-PBE) for a relaxed Ba4InI2Br crystal.

Unit cell a=8.6628 b=4.8258 c=9.0102 alpha=90.00 beta=107.96 gamma=90.00
Sites, in units of the cell vectors:
Ba 0.2398 0.0000 0.2315
Ba 0.2488 0.5000 0.7739
Ba 0.7512 0.5000 0.2261
Ba 0.7602 0.0000 0.7685
In 0.0000 0.5000 0.0000
I 0.0000 0.0000 0.5000
I 0.5000 0.5000 0.5000
Br 0.5000 0.0000 0.0000

- density (g/cm³) = 4.62
- electronic total energy (hartree per atom) = -0.1132
- space group = P2/m (10)
- formation energy from raw total energies (eV per atom) = -1.181

Density functional theory data (GGA-PBE) for a relaxed Ba4IrIBr2 crystal.

Unit cell a=8.4727 b=4.5917 c=8.7759 alpha=90.00 beta=106.44 gamma=90.00
Sites, in units of the cell vectors:
Ba 0.2188 0.0000 0.2088
Ba 0.2214 0.5000 0.7921
Ba 0.7786 0.5000 0.2079
Ba 0.7812 0.0000 0.7912
Ir 0.0000 0.5000 0.0000
I 0.0000 0.0000 0.5000
Br 0.5000 0.0000 0.0000
Br 0.5000 0.5000 0.5000

- density (g/cm³) = 5.21
- electronic total energy (hartree per atom) = -0.1426
- space group = P2/m (10)
- formation energy from raw total energies (eV per atom) = -1.200

Density functional theory data (GGA-PBE) for a relaxed Ba6Ir2I3Br crystal.

Unit cell a=11.0543 b=11.0543 c=10.2894 alpha=106.88 beta=106.88 gamma=24.24
Sites, in units of the cell vectors:
Ba 0.0258 0.0258 0.2567
Ba 0.3202 0.3202 0.4455
Ba 0.3283 0.3283 0.8650
Ba 0.6717 0.6717 0.1350
Ba 0.6798 0.6798 0.5545
Ba 0.9742 0.9742 0.7433
Ir 0.1651 0.1651 0.3321
Ir 0.8349 0.8349 0.6679
I 0.1561 0.1561 0.8369
I 0.5000 0.5000 0.5000
I 0.8439 0.8439 0.1631
Br 0.5000 0.5000 0.0000

- density (g/cm³) = 5.62
- electronic total energy (hartree per atom) = -0.1474
- space group = C2/m (12)
- formation energy from raw total energies (eV per atom) = -1.047

Density functional theory data (GGA-PBE) for a relaxed Ba6Ir2IBr3 crystal.

Unit cell a=10.7050 b=10.7050 c=10.0835 alpha=103.98 beta=103.98 gamma=24.82
Sites, in units of the cell vectors:
Ba 0.0244 0.0244 0.2734
Ba 0.3218 0.3218 0.8664
Ba 0.3226 0.3226 0.4387
Ba 0.6774 0.6774 0.5613
Ba 0.6782 0.6782 0.1336
Ba 0.9756 0.9756 0.7266
Ir 0.1662 0.1662 0.3349
Ir 0.8338 0.8338 0.6651
I 0.5000 0.5000 0.0000
Br 0.1555 0.1555 0.8392
Br 0.5000 0.5000 0.5000
Br 0.8445 0.8445 0.1608

- density (g/cm³) = 5.56
- electronic total energy (hartree per atom) = -0.1510
- space group = C2/m (12)
- formation energy from raw total energies (eV per atom) = -1.122

Density functional theory data (GGA-PBE) for a relaxed KBaIBr crystal.

Unit cell a=13.3370 b=13.3370 c=13.3370 alpha=25.16 beta=25.16 gamma=25.16
Sites, in units of the cell vectors:
K 0.1234 0.1234 0.1234
K 0.8766 0.8766 0.8766
Ba 0.2959 0.2959 0.2959
Ba 0.7041 0.7041 0.7041
I 0.3950 0.3950 0.3950
I 0.6050 0.6050 0.6050
Br 0.2086 0.2086 0.2086
Br 0.7914 0.7914 0.7914

- density (g/cm³) = 3.37
- electronic total energy (hartree per atom) = -0.1093
- space group = R-3m (166)
- energy above the lowest structure with this stoichiometry (meV/atom) = 0.0
- formation energy from raw total energies (eV per atom) = -1.415

Density functional theory data (GGA-PBE) for a relaxed KBaIBr2 crystal.

Unit cell a=8.8371 b=5.6095 c=10.0147 alpha=90.00 beta=101.41 gamma=90.00
Sites, in units of the cell vectors:
K 0.2160 0.2500 0.4817
K 0.7840 0.7500 0.5183
Ba 0.2577 0.7500 0.9295
Ba 0.7423 0.2500 0.0705
I 0.1579 0.2500 0.1241
I 0.8421 0.7500 0.8759
Br 0.1655 0.7500 0.6046
Br 0.4270 0.2500 0.8367
Br 0.5730 0.7500 0.1633
Br 0.8345 0.2500 0.3954

- density (g/cm³) = 3.16
- electronic total energy (hartree per atom) = -0.1267
- space group = P2_1/m (11)
- formation energy from raw total energies (eV per atom) = -1.864

Density functional theory data (GGA-PBE) for a relaxed KBaIBr crystal.

Unit cell a=5.9961 b=5.9961 c=5.9961 alpha=60.00 beta=60.00 gamma=60.00
Sites, in units of the cell vectors:
K 0.0000 0.0000 0.0000
Ba 0.5000 0.5000 0.5000
I 0.7500 0.7500 0.7500
Br 0.2500 0.2500 0.2500

- density (g/cm³) = 4.17
- electronic total energy (hartree per atom) = -0.1052
- space group = F-43m (216)
- energy above the lowest structure with this stoichiometry (meV/atom) = 113.4
- formation energy from raw total energies (eV per atom) = -1.301

Density functional theory data (GGA-PBE) for a relaxed Ba3IBrN crystal.

Unit cell a=9.0362 b=9.0362 c=7.4926 alpha=90.00 beta=90.00 gamma=121.83
Sites, in units of the cell vectors:
Ba 0.2006 0.2006 0.0000
Ba 0.2006 0.2006 0.5000
Ba 0.2123 0.7877 0.7500
Ba 0.7877 0.2123 0.2500
Ba 0.7994 0.7994 0.0000
Ba 0.7994 0.7994 0.5000
I 0.1935 0.8065 0.2500
I 0.8065 0.1935 0.7500
Br 0.4322 0.5678 0.7500
Br 0.5678 0.4322 0.2500
N 0.0540 0.9460 0.7500
N 0.9460 0.0540 0.2500

- density (g/cm³) = 4.04
- electronic total energy (hartree per atom) = -0.1475
- space group = Cmcm (63)
- formation energy from raw total energies (eV per atom) = -1.126

Density functional theory data (GGA-PBE) for a relaxed BaI2BrN crystal.

Unit cell a=6.6450 b=6.6450 c=3.9105 alpha=90.00 beta=90.00 gamma=90.00
Sites, in units of the cell vectors:
Ba 0.0000 0.0000 0.0000
I 0.0000 0.5000 0.5000
I 0.5000 0.0000 0.5000
Br 0.5000 0.5000 0.5000
N 0.5000 0.5000 0.0000

- density (g/cm³) = 4.66
- electronic total energy (hartree per atom) = -0.1037
- space group = P4/mmm (123)
- energy above the lowest structure with this stoichiometry (meV/atom) = 0.0
- formation energy from raw total energies (eV per atom) = 0.182

Density functional theory data (GGA-PBE) for a relaxed Ba6I3BrN2 crystal.

Unit cell a=7.6501 b=7.6501 c=8.7273 alpha=98.47 beta=98.47 gamma=120.06
Sites, in units of the cell vectors:
Ba 0.0612 0.4360 0.8112
Ba 0.1871 0.1871 0.1842
Ba 0.4360 0.0612 0.8112
Ba 0.5640 0.9388 0.1888
Ba 0.8129 0.8129 0.8158
Ba 0.9388 0.5640 0.1888
I 0.0000 0.0000 0.5000
I 0.3443 0.6557 0.5000
I 0.6557 0.3443 0.5000
Br 0.5000 0.5000 0.0000
N 0.1685 0.8315 0.0000
N 0.8315 0.1685 0.0000

- density (g/cm³) = 5.16
- electronic total energy (hartree per atom) = -0.1476
- space group = C2/m (12)
- formation energy from raw total energies (eV per atom) = -1.140

Density functional theory data (GGA-PBE) for a relaxed Ba10IBr4N5 crystal.

Unit cell a=40.3817 b=40.3817 c=40.3817 alpha=5.96 beta=5.96 gamma=5.96
Sites, in units of the cell vectors:
Ba 0.0471 0.0471 0.0471
Ba 0.1545 0.1545 0.1545
Ba 0.2448 0.2448 0.2448
Ba 0.3561 0.3561 0.3561
Ba 0.4463 0.4463 0.4463
Ba 0.5537 0.5537 0.5537
Ba 0.6439 0.6439 0.6439
Ba 0.7552 0.7552 0.7552
Ba 0.8455 0.8455 0.8455
Ba 0.9529 0.9529 0.9529
I 0.0000 0.0000 0.0000
Br 0.1996 0.1996 0.1996
Br 0.4012 0.4012 0.4012
Br 0.5988 0.5988 0.5988
Br 0.8004 0.8004 0.8004
N 0.1007 0.1007 0.1007
N 0.2984 0.2984 0.2984
N 0.5000 0.5000 0.5000
N 0.7016 0.7016 0.7016
N 0.8993 0.8993 0.8993

- density (g/cm³) = 5.09
- electronic total energy (hartree per atom) = -0.1690
- space group = R-3m (166)
- energy above the lowest structure with this stoichiometry (meV/atom) = 0.0
- formation energy from raw total energies (eV per atom) = -1.145

Density functional theory data (GGA-PBE) for a relaxed BaIBrN2 crystal.

Unit cell a=5.4386 b=5.4386 c=6.8738 alpha=90.00 beta=90.00 gamma=90.00
Sites, in units of the cell vectors:
Ba 0.0000 0.0000 0.0000
I 0.0000 0.0000 0.5000
Br 0.5000 0.5000 0.5000
N 0.0000 0.5000 0.0000
N 0.5000 0.0000 0.0000

- density (g/cm³) = 3.04
- electronic total energy (hartree per atom) = -0.1182
- space group = P4/mmm (123)
- energy above the lowest structure with this stoichiometry (meV/atom) = 0.0
- formation energy from raw total energies (eV per atom) = 1.142